Computed, not measured: Nd4Tm2Sc after structural relaxation at the PBE level of DFT.

Unit cell a=6.801 b=11.410 c=11.842 alpha=90.00 beta=90.00 gamma=90.00
Space group Imma (No. 74)
Inequivalent atoms, fractional coordinates:
Nd 0.000 0.008 0.156 (multiplicity 8)
Nd 0.223 0.250 0.994 (multiplicity 8)
Tm 0.000 0.000 0.500 (multiplicity 4)
Tm 0.000 0.250 0.717 (multiplicity 4)
Sc 0.250 0.250 0.250 (multiplicity 4)

Values from the calculation:
Total magnetization   0.000 μB/f.u.
Total DFT energy (no corrections)   -4.656 eV per atom
Formation energy   0.250 eV/atom

Computed, not measured: Nd2Tm2Sc after structural relaxation at the PBE level of DFT.

Unit cell a=4.903 b=7.737 c=8.240 alpha=90.00 beta=90.00 gamma=90.00
Space group Immm (No. 71)
Inequivalent atoms, fractional coordinates:
Nd 0.000 0.205 0.000 (multiplicity 4)
Tm 0.000 0.500 0.292 (multiplicity 4)
Sc 0.000 0.000 0.500 (multiplicity 2)

Values from the calculation:
Total magnetization   0.000 μB/f.u.
Total DFT energy (no corrections)   -4.750 eV per atom
Formation energy   0.212 eV/atom

Computed, not measured: NdTm12Sc2 after structural relaxation at the PBE level of DFT.

Unit cell a=6.209 b=6.209 c=24.904 alpha=90.00 beta=90.00 gamma=90.00
Space group P4/nbm (No. 125, origin choice 2)
Inequivalent atoms, fractional coordinates:
Nd 0.250 0.750 0.000 (multiplicity 2)
Tm 0.067 0.567 0.119 (multiplicity 8)
Tm 0.080 0.580 0.440 (multiplicity 8)
Tm 0.250 0.250 0.218 (multiplicity 4)
Tm 0.250 0.250 0.340 (multiplicity 4)
Sc 0.250 0.750 0.277 (multiplicity 4)

Values from the calculation:
Total magnetization   0.014 μB/f.u.
Total DFT energy (no corrections)   -4.382 eV per atom
Formation energy   0.358 eV/atom

Computed, not measured: NdTm8Sc4 after structural relaxation at the PBE level of DFT.

Unit cell a=7.0541 b=7.0541 c=26.1387 alpha=90.00 beta=90.00 gamma=120.00
Space group R-3m (No. 166, hexagonal axes)
Inequivalent atoms, fractional coordinates:
Nd 0.0000 0.0000 0.0000 (multiplicity 3)
Tm 0.0000 0.0000 0.2806 (multiplicity 6)
Tm 0.0343 0.5171 0.2646 (multiplicity 18)
Sc 0.0000 0.0000 0.5000 (multiplicity 3)
Sc 0.0000 0.5000 0.5000 (multiplicity 9)

Values from the calculation:
Total magnetization   0.000 μB/f.u.
Total DFT energy (no corrections)   -4.817 eV per atom
Formation energy   0.250 eV/atom

Computed, not measured: NdTm5Sc after structural relaxation at the PBE level of DFT.

Unit cell a=8.030 b=11.366 c=5.963 alpha=90.00 beta=90.00 gamma=90.00
Space group Imm2 (No. 44)
Inequivalent atoms, fractional coordinates:
Nd 0.000 0.000 0.000 (multiplicity 2)
Tm 0.000 0.000 0.524 (multiplicity 2)
Tm 0.000 0.251 0.263 (multiplicity 4)
Tm 0.176 0.500 0.756 (multiplicity 4)
Sc 0.000 0.500 0.254 (multiplicity 2)

Values from the calculation:
Total magnetization   0.000 μB/f.u.
Total DFT energy (no corrections)   -3.770 eV per atom
Formation energy   1.009 eV/atom

Computed, not measured: Nd5Tm2Sc after structural relaxation at the PBE level of DFT.

Unit cell a=9.178 b=9.178 c=12.467 alpha=90.00 beta=90.00 gamma=90.00
Space group I4/mcm (No. 140)
Inequivalent atoms, fractional coordinates:
Nd 0.000 0.000 0.000 (multiplicity 4)
Nd 0.152 0.348 0.165 (multiplicity 16)
Tm 0.143 0.357 0.500 (multiplicity 8)
Sc 0.000 0.000 0.250 (multiplicity 4)

Values from the calculation:
Total magnetization   0.486 μB/f.u.
Total DFT energy (no corrections)   -4.767 eV per atom
Formation energy   0.122 eV/atom